Record 1
SbP2Au: optimized geometry, PBE.

```
4
Lattice="3.4728 0.0000 0.0000 0.0000 2.7111 4.1162 0.0000 -2.7111 4.1162" Properties=species:S:1:pos:R:3 pbc="T T T"
Sb 0.0000 0.0000 0.0000
P 0.0000 0.0000 4.3349
P 1.7364 0.0000 5.9835
Au 1.7364 0.0000 2.2478
```

Results
Formation energy (no corrections), eV per atom: 0.1590
Space-group type: Amm2, No. 38

=====

Record 2
SbP2Au: optimized geometry, PBE.

```
8
Lattice="-2.9074 2.9074 5.8063 2.9074 -2.9074 5.8063 2.9074 2.9074 -5.8063" Properties=species:S:1:pos:R:3 pbc="T T T"
Sb 0.0000 0.0000 0.0000
Sb 0.0000 2.9074 2.9031
P 1.4537 -1.3298 4.3547
P 1.5776 1.4537 1.4516
P 1.4537 4.2372 -1.4516
P 1.3298 1.4537 7.2578
Au 2.9074 0.0000 2.9031
Au 0.0000 0.0000 5.8063
```

Results
Formation energy (no corrections), eV per atom: 0.1486
Space-group type: I-42d, No. 122

=====

Record 3
SbP2Au: optimized geometry, PBE.

```
4
Lattice="3.4495 0.0000 0.0000 0.0000 3.4495 0.0000 0.0000 0.0000 6.9859" Properties=species:S:1:pos:R:3 pbc="T T T"
Sb 0.0000 0.0000 0.0000
P 0.0000 0.0000 4.3715
P 1.7247 1.7247 3.9794
Au 1.7247 1.7247 1.5873
```

Results
Formation energy (no corrections), eV per atom: 0.1578
Space-group type: P4mm, No. 99

=====

Record 4
SbPAu2: optimized geometry, PBE.

```
4
Lattice="3.6897 0.0000 0.0000 0.0000 4.2120 0.0000 0.0000 0.0000 5.5429" Properties=species:S:1:pos:R:3 pbc="T T T"
Sb 0.0000 0.0000 0.0000
P 1.8448 0.0000 2.7714
Au 1.8448 2.1060 1.3639
Au 1.8448 2.1060 4.1790
```

Results
Formation energy (no corrections), eV per atom: 0.2770
Space-group type: Pmmm, No. 47
Energy relative to the lowest polymorph listed for this composition, eV/atom: 0.183

=====

Record 5
SbPAu2: optimized geometry, PBE.

```
4
Lattice="2.8291 -3.7419 0.0000 2.8291 3.7419 0.0000 0.0000 0.0000 3.7830" Properties=species:S:1:pos:R:3 pbc="T T T"
Sb 0.0000 0.0000 0.0000
P 2.8291 0.0000 0.0000
Au 1.4145 1.8710 1.8915
Au 1.4145 -1.8710 1.8915
```

Results
Formation energy (no corrections), eV per atom: 0.3061
Space-group type: Cmmm, No. 65
Energy relative to the lowest polymorph listed for this composition, eV/atom: 0.212

=====

Record 6
SbP2Au: optimized geometry, PBE.

```
4
Lattice="-2.0776 2.6867 3.6209 2.0776 -2.6867 3.6209 2.0776 2.6867 -3.6209" Properties=species:S:1:pos:R:3 pbc="T T T"
Sb 0.0000 0.0000 0.0000
P 2.0776 0.0000 2.2379
P 0.0000 2.6867 1.3830
Au 0.0000 0.0000 3.6209
```

Results
Formation energy (no corrections), eV per atom: 0.4331
Space-group type: Immm, No. 71

=====

Record 7
SbPAu2: optimized geometry, PBE.

```
4
Lattice="0.0000 3.4212 3.4212 3.4212 0.0000 3.4212 3.4212 3.4212 0.0000" Properties=species:S:1:pos:R:3 pbc="T T T"
Sb 0.0000 0.0000 0.0000
P 5.1318 5.1318 5.1318
Au 1.7106 1.7106 1.7106
Au 3.4212 3.4212 3.4212
```

Results
Formation energy (no corrections), eV per atom: 0.3740
Space-group type: F-43m, No. 216
Energy relative to the lowest polymorph listed for this composition, eV/atom: 0.280

=====

Record 8
SbP2Au: optimized geometry, PBE.

```
4
Lattice="3.8475 0.0000 0.0000 0.0000 3.8135 0.0000 -0.0304 0.0000 5.3623" Properties=species:S:1:pos:R:3 pbc="T T T"
Sb 0.0000 0.0000 0.0000
P -0.0152 0.0000 2.6812
P 1.9238 1.9067 0.0000
Au 1.9085 1.9067 2.6812
```

Results
Formation energy (no corrections), eV per atom: 0.2038
Space-group type: P2/m, No. 10

=====

Please write out number 7 again, unchanged.
SbPAu2: optimized geometry, PBE.

```
4
Lattice="0.0000 3.4212 3.4212 3.4212 0.0000 3.4212 3.4212 3.4212 0.0000" Properties=species:S:1:pos:R:3 pbc="T T T"
Sb 0.0000 0.0000 0.0000
P 5.1318 5.1318 5.1318
Au 1.7106 1.7106 1.7106
Au 3.4212 3.4212 3.4212
```

Results
Formation energy (no corrections), eV per atom: 0.3740
Space-group type: F-43m, No. 216
Energy relative to the lowest polymorph listed for this composition, eV/atom: 0.280

=====

Q: formation energy (no corrections) of number 7 (SbPAu2)?
A: 0.3740 eV per atom